# 1
A relaxed SrW2Se crystal, computed with GGA-PBE.

Results
Raw formation energy in eV per atom: 0.843
Space-group type: No. 122
Calculated density in g cm⁻³: 9.04
M_tot in μB per cell: 0.00

Unit cell a=10.011 b=10.011 c=10.011 alpha=153.74 beta=153.74 gamma=37.48
Element x y z (fractional)
Sr (0.000, 0.000, 0.000)
Sr (0.750, 0.250, 0.500)
W (0.278, 0.125, 0.653)
W (0.375, 0.722, 0.847)
W (0.472, 0.625, 0.347)
W (0.875, 0.528, 0.153)
Se (0.250, 0.750, 0.500)
Se (0.500, 0.500, 0.000)

# 2
A relaxed SrW2Se4 crystal, computed with GGA-PBE.

Results
Raw formation energy in eV per atom: 0.475
Space-group type: No. 139
Calculated density in g cm⁻³: 5.87
M_tot in μB per cell: 5.94

Unit cell a=7.964 b=7.964 c=7.964 alpha=138.65 beta=138.65 gamma=59.91
Element x y z (fractional)
Sr (0.000, 0.000, 0.000)
W (0.405, 0.405, 0.000)
W (0.595, 0.595, 0.000)
Se (0.000, 0.500, 0.500)
Se (0.238, 0.238, 0.000)
Se (0.500, 0.000, 0.500)
Se (0.762, 0.762, 0.000)

# 3
A relaxed SrYW2Se crystal, computed with GGA-PBE.

Results
Raw formation energy in eV per atom: 1.633
Space-group type: No. 123
Calculated density in g cm⁻³: 6.83
M_tot in μB per cell: 6.08

Unit cell a=5.254 b=5.254 c=5.491 alpha=90.00 beta=90.00 gamma=90.00
Element x y z (fractional)
Sr (0.000, 0.000, 0.000)
Y (0.500, 0.500, 0.500)
W (0.000, 0.500, 0.500)
W (0.500, 0.000, 0.500)
Se (0.500, 0.500, 0.000)

# 4
A relaxed SrY2Se crystal, computed with GGA-PBE.

Results
Raw formation energy in eV per atom: -0.240
Space-group type: No. 119
Calculated density in g cm⁻³: 4.75
M_tot in μB per cell: 0.53

Unit cell a=6.422 b=6.422 c=6.422 alpha=137.28 beta=137.28 gamma=62.00
Element x y z (fractional)
Sr (0.000, 0.000, 0.000)
Y (0.250, 0.750, 0.500)
Y (0.500, 0.500, 0.000)
Se (0.750, 0.250, 0.500)

# 5
A relaxed SrY6Se8 crystal, computed with GGA-PBE.

Results
Raw formation energy in eV per atom: -1.641
Space-group type: No. 148
Calculated density in g cm⁻³: 4.25
M_tot in μB per cell: 1.79

Unit cell a=7.899 b=7.899 c=7.899 alpha=93.66 beta=93.66 gamma=93.66
Element x y z (fractional)
Sr (0.000, 0.000, 0.000)
Y (0.192, 0.395, 0.561)
Y (0.395, 0.561, 0.192)
Y (0.439, 0.808, 0.605)
Y (0.561, 0.192, 0.395)
Y (0.605, 0.439, 0.808)
Y (0.808, 0.605, 0.439)
Se (0.141, 0.710, 0.380)
Se (0.236, 0.236, 0.236)
Se (0.290, 0.620, 0.859)
Se (0.380, 0.141, 0.710)
Se (0.620, 0.859, 0.290)
Se (0.710, 0.380, 0.141)
Se (0.764, 0.764, 0.764)
Se (0.859, 0.290, 0.620)

# 6
A relaxed Sr2YSe crystal, computed with GGA-PBE.

Results
Raw formation energy in eV per atom: -0.329
Space-group type: No. 47
Calculated density in g cm⁻³: 4.13
M_tot in μB per cell: 0.00

Unit cell a=4.217 b=5.711 c=5.728 alpha=90.00 beta=90.00 gamma=90.00
Element x y z (fractional)
Sr (0.000, 0.000, 0.000)
Sr (0.000, 0.500, 0.500)
Y (0.500, 0.000, 0.500)
Se (0.500, 0.500, 0.000)

# 7
A relaxed SrY2Se crystal, computed with GGA-PBE.

Results
Raw formation energy in eV per atom: -0.691
Space-group type: No. 38
Calculated density in g cm⁻³: 4.34
M_tot in μB per cell: 0.00

Unit cell a=3.941 b=8.052 c=8.052 alpha=31.07 beta=90.00 gamma=90.00
Element x y z (fractional)
Sr (0.000, 0.000, 0.000)
Y (0.000, 0.712, 0.712)
Y (0.500, 0.339, 0.339)
Se (0.500, 0.562, 0.562)

# 8
A relaxed Sr2YSe crystal, computed with GGA-PBE.

Results
Raw formation energy in eV per atom: -0.689
Space-group type: No. 99
Calculated density in g cm⁻³: 3.98
M_tot in μB per cell: 0.49

Unit cell a=3.775 b=3.775 c=10.041 alpha=90.00 beta=90.00 gamma=90.00
Element x y z (fractional)
Sr (0.000, 0.000, 0.000)
Sr (0.500, 0.500, 0.340)
Y (0.000, 0.000, 0.639)
Se (0.500, 0.500, 0.788)

# 9
A relaxed Sr2YSe crystal, computed with GGA-PBE.

Results
Raw formation energy in eV per atom: -0.327
Space-group type: No. 119
Calculated density in g cm⁻³: 4.03
M_tot in μB per cell: 0.45

Unit cell a=7.029 b=7.029 c=7.029 alpha=140.12 beta=140.12 gamma=57.66
Element x y z (fractional)
Sr (0.000, 0.000, 0.000)
Sr (0.750, 0.250, 0.500)
Y (0.250, 0.750, 0.500)
Se (0.500, 0.500, 0.000)

# 10
A relaxed SrY2Se crystal, computed with GGA-PBE.

Results
Raw formation energy in eV per atom: -0.333
Space-group type: No. 12
Calculated density in g cm⁻³: 4.58
M_tot in μB per cell: 0.00

Unit cell a=6.809 b=6.809 c=3.792 alpha=106.02 beta=106.02 gamma=121.00
Element x y z (fractional)
Sr (0.000, 0.000, 0.000)
Y (0.000, 0.500, 0.000)
Y (0.500, 0.000, 0.000)
Se (0.500, 0.500, 0.000)

# 11
A relaxed Sr2YSe crystal, computed with GGA-PBE.

Results
Raw formation energy in eV per atom: -0.680
Space-group type: No. 38
Calculated density in g cm⁻³: 3.86
M_tot in μB per cell: 0.87

Unit cell a=4.043 b=8.090 c=8.090 alpha=33.88 beta=90.00 gamma=90.00
Element x y z (fractional)
Sr (0.000, 0.000, 0.000)
Sr (0.500, 0.323, 0.323)
Y (0.000, 0.686, 0.686)
Se (0.500, 0.539, 0.539)

# 12
A relaxed Sr2YSe crystal, computed with GGA-PBE.

Results
Raw formation energy in eV per atom: -0.535
Space-group type: No. 122
Calculated density in g cm⁻³: 3.49
M_tot in μB per cell: 0.00

Unit cell a=8.144 b=8.144 c=8.144 alpha=96.76 beta=96.76 gamma=139.88
Element x y z (fractional)
Sr (0.001, 0.625, 0.876)
Sr (0.375, 0.251, 0.376)
Sr (0.749, 0.125, 0.124)
Sr (0.875, 0.999, 0.624)
Y (0.250, 0.750, 0.500)
Y (0.500, 0.500, 0.000)
Se (0.000, 0.000, 0.000)
Se (0.750, 0.250, 0.500)

# 13
A relaxed Sr2YSe crystal, computed with GGA-PBE.

Results
Raw formation energy in eV per atom: -0.731
Space-group type: No. 65
Calculated density in g cm⁻³: 4.00
M_tot in μB per cell: 0.22

Unit cell a=3.808 b=3.808 c=9.824 alpha=90.00 beta=90.00 gamma=90.78
Element x y z (fractional)
Sr (0.000, 0.000, 0.188)
Sr (0.000, 0.000, 0.812)
Y (0.500, 0.500, 0.500)
Se (0.500, 0.500, 0.000)

# 14
A relaxed SrY3Se4 crystal, computed with GGA-PBE.

Results
Raw formation energy in eV per atom: -1.811
Space-group type: No. 65
Calculated density in g cm⁻³: 5.46
M_tot in μB per cell: 0.00

Unit cell a=7.218 b=7.218 c=4.141 alpha=90.00 beta=90.00 gamma=109.09
Element x y z (fractional)
Sr (0.000, 0.000, 0.000)
Y (0.000, 0.500, 0.500)
Y (0.500, 0.000, 0.500)
Y (0.500, 0.500, 0.000)
Se (0.255, 0.745, 0.000)
Se (0.261, 0.261, 0.500)
Se (0.739, 0.739, 0.500)
Se (0.745, 0.255, 0.000)

# 15
A relaxed Sr2YSe crystal, computed with GGA-PBE.

Results
Raw formation energy in eV per atom: -0.281
Space-group type: No. 139
Calculated density in g cm⁻³: 4.23
M_tot in μB per cell: 0.00

Unit cell a=6.782 b=6.782 c=6.782 alpha=138.66 beta=138.66 gamma=59.89
Element x y z (fractional)
Sr (0.250, 0.750, 0.500)
Sr (0.750, 0.250, 0.500)
Y (0.000, 0.000, 0.000)
Se (0.500, 0.500, 0.000)